Entry 1:
Compound: YCdFeSi
Source: OQMD
Functional: GGA-PBE
Structure: optimized geometry

Summary:
Excess energy over the best structure of this formula in the dataset, eV/atom: 0.000
VASP energy, eV/atom: -5.24
Total moment, μB per cell: 2.34
Space-group type: F-43m (216)

Geometry as POSCAR:
```
YCdFeSi
1.0
0.0000 3.3295 3.3295
3.3295 0.0000 3.3295
3.3295 3.3295 0.0000
Cd Fe Si Y
1 1 1 1
Direct
0.5000 0.5000 0.5000 Cd
0.7500 0.7500 0.7500 Fe
0.0000 0.0000 0.0000 Si
0.2500 0.2500 0.2500 Y
```

=====

Entry 2:
Compound: Zr2BeCu2
Source: OQMD
Functional: GGA-PBE
Structure: optimized geometry

Summary:
VASP energy, eV/atom: -5.33
Total moment, μB per cell: 0.01
Space-group type: P6_3/mmc (194)

Geometry as POSCAR:
```
Zr2BeCu2
1.0
-2.3770 1.2415 -1.6784
-0.5336 -1.1162 2.9116
4.1468 18.6137 7.8958
Be Cu Zr
2 4 4
Direct
0.0000 0.0000 0.0000 Be
0.0000 0.0000 0.5000 Be
0.6667 0.3333 0.1914 Cu
0.6667 0.3333 0.3086 Cu
0.3333 0.6667 0.6914 Cu
0.3333 0.6667 0.8086 Cu
0.3333 0.6667 0.0893 Zr
0.3333 0.6667 0.4107 Zr
0.6667 0.3333 0.5893 Zr
0.6667 0.3333 0.9107 Zr
```

=====

Entry 3:
Compound: GdTm2Al3AgPd2
Source: OQMD
Functional: GGA-PBE
Structure: optimized geometry

Summary:
VASP energy, eV/atom: -4.93
Total moment, μB per cell: 0.00
Space-group type: Amm2 (38)

Geometry as POSCAR:
```
GdTm2Al3AgPd2
1.0
-2.4032 -1.8932 2.3610
5.5045 -4.4595 2.0269
-1.2768 6.2404 3.7043
Ag Al Gd Pd Tm
1 3 1 2 2
Direct
0.5000 0.0026 0.0026 Ag
0.0000 0.7452 0.0023 Al
0.0000 0.2536 0.2536 Al
0.0000 0.0023 0.7452 Al
0.5000 0.5843 0.5843 Gd
0.0000 0.6685 0.3296 Pd
0.0000 0.3296 0.6685 Pd
0.5000 0.9993 0.4145 Tm
0.5000 0.4145 0.9993 Tm
```